# 1
A relaxed SiSbCl2 crystal. Source: Alexandria via LeMat-Bulk, functional PBE.

Unit cell a=7.5341 b=7.5341 c=4.7894 alpha=84.65 beta=84.65 gamma=26.67
Last column: nearest neighbours and their distance in Å.
Sites, in units of the cell vectors:
Cl  0.8949  0.8949  0.0419  1 Sb 2.65, 2 Si 2.85
Cl  0.6051  0.6051  0.4581  1 Sb 2.65, 2 Si 2.85
Sb  0.7500  0.7500  0.7500  2 Cl 2.65, 4 Si 2.96
Si  0.2500  0.2500  0.2500  4 Cl 2.85, 4 Sb 2.96

N(E_F) = 0.87 states/eV/f.u.
Formation energy (no corrections) = -0.10 eV per atom
Magnetization = 0.0 μB/f.u.

# 2
A relaxed SiSbCl2 crystal. Source: Alexandria via LeMat-Bulk, functional PBE.

Unit cell a=9.7845 b=9.7845 c=9.7845 alpha=19.44 beta=19.44 gamma=19.44
Last column: nearest neighbours and their distance in Å.
Sites, in units of the cell vectors:
Sb  0.5000  0.5000  0.5000  6 Cl 3.05, 6 Sb 3.30
Si  0.0000  0.0000  0.0000  2 Cl 2.42
Cl  0.9160  0.9160  0.9160  1 Si 2.42
Cl  0.0840  0.0840  0.0840  1 Si 2.42

N(E_F) = 1.37 states/eV/f.u.
Formation energy (no corrections) = 0.02 eV per atom
Magnetization = 0.0 μB/f.u.

# 3
A relaxed SiSbCl2 crystal. Source: Alexandria via LeMat-Bulk, functional PBE.

Unit cell a=4.3893 b=4.3893 c=4.5193 alpha=90.00 beta=90.00 gamma=90.00
Last column: nearest neighbours and their distance in Å.
Sites, in units of the cell vectors:
Cl  0.0000  0.0000  0.0000  4 Cl 3.10, 4 Sb 3.15, 4 Si 3.15
Cl  0.5000  0.5000  0.0000  4 Cl 3.10, 4 Sb 3.15, 4 Si 3.15
Sb  0.5000  0.0000  0.5000  4 Si 3.10, 8 Cl 3.15
Si  0.0000  0.5000  0.5000  4 Sb 3.10, 8 Cl 3.15

N(E_F) = 2.30 states/eV/f.u.
Formation energy (no corrections) = 0.26 eV per atom
Magnetization = 0.0 μB/f.u.

# 4
A relaxed SiSbCl3 crystal. Source: Alexandria via LeMat-Bulk, functional PBE.

Unit cell a=5.0692 b=5.0692 c=5.0692 alpha=90.00 beta=90.00 gamma=90.00
Last column: nearest neighbours and their distance in Å.
Sites, in units of the cell vectors:
Sb  0.5000  0.5000  0.5000  12 Cl 3.58
Si  0.0000  0.0000  0.0000  6 Cl 2.53
Cl  0.0000  0.5000  0.0000  2 Si 2.53
Cl  0.0000  0.0000  0.5000  2 Si 2.53
Cl  0.5000  0.0000  0.0000  2 Si 2.53

N(E_F) = 5.06 states/eV/f.u.
Formation energy (no corrections) = -0.02 eV per atom
Magnetization = 2.1 μB/f.u.

# 5
A relaxed SiSbCl2 crystal. Source: Alexandria via LeMat-Bulk, functional PBE.

Unit cell a=4.6392 b=3.4133 c=5.5489 alpha=89.06 beta=90.00 gamma=90.00
Last column: nearest neighbours and their distance in Å.
Sites, in units of the cell vectors:
Cl  0.0000  0.9887  0.9943  2 Si 2.81, 2 Sb 2.87
Cl  0.0000  0.5113  0.5057  2 Si 2.81, 2 Sb 2.87
Sb  0.5000  0.2500  0.2500  4 Cl 2.87
Si  0.5000  0.7500  0.7500  4 Cl 2.81

N(E_F) = 1.20 states/eV/f.u.
Formation energy (no corrections) = 0.06 eV per atom
Magnetization = 0.0 μB/f.u.

# 6
A relaxed SiSbCl2 crystal. Source: Alexandria via LeMat-Bulk, functional PBE.

Unit cell a=3.1138 b=4.5540 c=6.1891 alpha=90.00 beta=90.00 gamma=90.00
Last column: nearest neighbours and their distance in Å.
Sites, in units of the cell vectors:
Cl  0.0000  0.0000  0.9980  4 Cl 3.07-3.12, 4 Si 3.16, 4 Sb 3.17
Cl  0.0000  0.0000  0.5020  4 Cl 3.07-3.12, 4 Si 3.16, 4 Sb 3.17
Sb  0.5000  0.5000  0.2500  2 Si 3.09, 2 Sb 3.11, 8 Cl 3.17
Si  0.5000  0.5000  0.7500  2 Sb 3.09, 2 Si 3.11, 8 Cl 3.16

N(E_F) = 1.90 states/eV/f.u.
Formation energy (no corrections) = 0.28 eV per atom
Magnetization = 0.0 μB/f.u.

# 7
A relaxed Si2Sb2Cl crystal. Source: Alexandria via LeMat-Bulk, functional PBE.

Unit cell a=4.1961 b=4.1961 c=7.7680 alpha=74.33 beta=74.33 gamma=90.00
Last column: nearest neighbours and their distance in Å.
Sites, in units of the cell vectors:
Sb  0.3735  0.3735  0.2530  4 Si 2.75
Sb  0.6265  0.6265  0.7470  4 Si 2.75
Si  0.7500  0.2500  0.5000  4 Sb 2.75, 4 Si 2.97
Si  0.2500  0.7500  0.5000  4 Sb 2.75, 4 Si 2.97
Cl  0.0000  0.0000  0.0000  8 Sb 3.48

N(E_F) = 0.55 states/eV/f.u.
Formation energy (no corrections) = 0.06 eV per atom
Magnetization = 0.0 μB/f.u.

# 8
A relaxed SiSb4Cl crystal. Source: Alexandria via LeMat-Bulk, functional PBE.

Unit cell a=6.1878 b=6.1878 c=6.1878 alpha=60.00 beta=60.00 gamma=60.00
Last column: nearest neighbours and their distance in Å.
Sites, in units of the cell vectors:
Si  0.7500  0.7500  0.7500  12 Sb 3.64, 4 Cl 3.79
Sb  0.8850  0.3717  0.3717  6 Sb 3.01-3.18
Sb  0.3717  0.3717  0.8850  6 Sb 3.01-3.18
Sb  0.3717  0.8850  0.3717  6 Sb 3.01-3.18
Sb  0.3717  0.3717  0.3717  6 Sb 3.01-3.18
Cl  0.0000  0.0000  0.0000  12 Sb 3.62, 4 Si 3.79

N(E_F) = 4.00 states/eV/f.u.
Formation energy (no corrections) = 0.46 eV per atom
Magnetization = 0.0 μB/f.u.

# 9
A relaxed Si2SbCl2 crystal. Source: Alexandria via LeMat-Bulk, functional PBE.

Unit cell a=4.2196 b=4.2196 c=6.6508 alpha=71.51 beta=71.51 gamma=90.00
Last column: nearest neighbours and their distance in Å.
Sites, in units of the cell vectors:
Sb  0.0000  0.0000  0.0000  8 Si 3.25
Si  0.3923  0.3923  0.2154  1 Si 2.56, 4 Cl 2.70
Si  0.6077  0.6077  0.7846  1 Si 2.56, 4 Cl 2.70
Cl  0.7500  0.2500  0.5000  4 Si 2.70, 4 Cl 2.98
Cl  0.2500  0.7500  0.5000  4 Si 2.70, 4 Cl 2.98

N(E_F) = 3.51 states/eV/f.u.
Formation energy (no corrections) = 0.35 eV per atom
Magnetization = 0.0 μB/f.u.

# 10
A relaxed SiSbCl2 crystal. Source: Alexandria via LeMat-Bulk, functional PBE.

Unit cell a=5.4852 b=5.4852 c=5.4852 alpha=132.92 beta=132.92 gamma=68.78
Last column: nearest neighbours and their distance in Å.
Sites, in units of the cell vectors:
Cl  0.0000  0.0000  0.0000  4 Cl 3.10, 4 Sb 3.15, 4 Si 3.15
Cl  0.5000  0.5000  0.0000  4 Cl 3.10, 4 Si 3.15, 4 Sb 3.15
Sb  0.2500  0.7500  0.5000  4 Si 3.10, 8 Cl 3.15
Si  0.7500  0.2500  0.5000  4 Sb 3.10, 8 Cl 3.15

N(E_F) = 1.66 states/eV/f.u.
Formation energy (no corrections) = 0.26 eV per atom
Magnetization = 0.0 μB/f.u.

# 11
A relaxed SiSbCl2 crystal. Source: Alexandria via LeMat-Bulk, functional PBE.

Unit cell a=3.1883 b=3.1883 c=12.0277 alpha=90.00 beta=90.00 gamma=90.00
Last column: nearest neighbours and their distance in Å.
Sites, in units of the cell vectors:
Cl  0.0000  0.0000  0.8820  4 Si 2.76
Cl  0.0000  0.0000  0.6180  4 Si 2.76
Sb  0.5000  0.5000  0.2500  4 Sb 3.19
Si  0.5000  0.5000  0.7500  8 Cl 2.76

N(E_F) = 1.14 states/eV/f.u.
Formation energy (no corrections) = 0.05 eV per atom
Magnetization = 0.0 μB/f.u.

# 12
A relaxed SiSbCl2 crystal. Source: Alexandria via LeMat-Bulk, functional PBE.

Unit cell a=5.0029 b=5.0029 c=5.0029 alpha=60.00 beta=60.00 gamma=60.00
Last column: nearest neighbours and their distance in Å.
Sites, in units of the cell vectors:
Sb  0.5000  0.5000  0.5000  8 Cl 3.06
Si  0.0000  0.0000  0.0000  8 Cl 3.06
Cl  0.2500  0.2500  0.2500  4 Sb 3.06, 4 Si 3.06
Cl  0.7500  0.7500  0.7500  4 Sb 3.06, 4 Si 3.06

N(E_F) = 2.73 states/eV/f.u.
Formation energy (no corrections) = 0.42 eV per atom
Magnetization = 0.0 μB/f.u.